(1)
Here is a relaxed structure of Sb3Cl from Alexandria. Energies are from PBE.

a = 5.1881 Å, b = 5.1881 Å, c = 3.8616 Å
α = 90.00°, β = 90.00°, γ = 90.00°
Atoms (fractional coordinates):
Sb1 0.0000 0.0000 0.0000
Sb2 0.0000 0.5000 0.5000
Sb3 0.5000 0.0000 0.5000
Cl1 0.5000 0.5000 0.0000

## Properties
- Relative energy among the computed polymorphs: 22.32 kJ/mol of atoms
- E_form (uncorrected): 175 meV/atom
- Crystal system: tetragonal
- ρ: 6.4 g cm⁻³
- V: 25.98 Å³ per atom
- Total magnetic moment: 0.000 μB per atom
- DFT total energy: -13.51 eV per formula unit

***

(2)
Here is a relaxed structure of ScICl2 from Alexandria. Energies are from PBE.

a = 7.0190 Å, b = 7.0190 Å, c = 7.0190 Å
α = 100.07°, β = 100.07°, γ = 130.56°
Atoms (fractional coordinates):
Sc1 0.0000 0.0000 0.0000
Sc2 0.7500 0.2500 0.5000
I1 0.2500 0.7500 0.5000
I2 0.5000 0.5000 0.0000
Cl1 0.3750 0.2318 0.3568
Cl2 0.7682 0.1250 0.1432
Cl3 0.8750 0.0182 0.6432
Cl4 0.9818 0.6250 0.8568

## Properties
- Relative energy among the computed polymorphs: 23.88 kJ/mol of atoms
- E_form (uncorrected): -1518 meV/atom
- Crystal system: tetragonal
- ρ: 3.4 g cm⁻³
- V: 29.83 Å³ per atom
- Total magnetic moment: 0.000 μB per atom
- DFT total energy: -17.65 eV per formula unit

***

(3)
Here is a relaxed structure of BaGaTc2O8 from Alexandria. Energies are from PBE.

a = 5.4622 Å, b = 5.4622 Å, c = 7.4465 Å
α = 90.00°, β = 90.00°, γ = 120.00°
Atoms (fractional coordinates):
Ba1 0.0000 0.0000 0.0000
Ga1 0.0000 0.0000 0.5000
Tc1 0.3333 0.6667 0.7226
Tc2 0.6667 0.3333 0.2774
O1 0.0545 0.3091 0.6659
O2 0.2546 0.9455 0.6659
O3 0.3091 0.2546 0.3341
O4 0.3333 0.6667 0.9628
O5 0.6667 0.3333 0.0372
O6 0.6909 0.7454 0.6659
O7 0.7454 0.0545 0.3341
O8 0.9455 0.6909 0.3341

## Properties
- E_form (uncorrected): -1643 meV/atom
- Crystal system: trigonal
- ρ: 4.6 g cm⁻³
- V: 16.03 Å³ per atom
- Total magnetic moment: 0.250 μB per atom
- DFT total energy: -85.06 eV per formula unit

***

(4)
Here is a relaxed structure of Dy6AgGe2S14 from Alexandria. Energies are from PBE.

a = 9.8792 Å, b = 9.8792 Å, c = 5.7711 Å
α = 90.00°, β = 90.00°, γ = 120.00°
Atoms (fractional coordinates):
Dy1 0.0226 0.5568 0.0000
Dy2 0.3101 0.1084 0.5005
Dy3 0.4432 0.4658 0.0000
Dy4 0.5342 0.9774 0.0000
Dy5 0.7983 0.6899 0.5005
Dy6 0.8916 0.2017 0.5005
Ag1 0.6667 0.3333 0.7193
Ge1 0.0000 0.0000 0.0774
Ge2 0.3333 0.6667 0.5838
S1 0.0000 0.0000 0.6962
S2 0.0868 0.8513 0.2411
S3 0.1487 0.2354 0.2411
S4 0.1854 0.4312 0.7464
S5 0.2458 0.8146 0.7464
S6 0.3333 0.6667 0.2022
S7 0.4052 0.1728 0.9625
S8 0.5032 0.4309 0.4698
S9 0.5691 0.0723 0.4698
S10 0.5688 0.7542 0.7464
S11 0.7646 0.9132 0.2411
S12 0.7676 0.5948 0.9625
S13 0.8272 0.2324 0.9625
S14 0.9277 0.4968 0.4698

## Properties
- E_form (uncorrected): -1418 meV/atom
- Crystal system: trigonal
- ρ: 5.7 g cm⁻³
- V: 21.21 Å³ per atom
- Total magnetic moment: 0.000 μB per atom
- DFT total energy: -130.10 eV per formula unit

***

(5)
Here is a relaxed structure of KH3Au from Alexandria. Energies are from PBE.

a = 3.0475 Å, b = 6.4865 Å, c = 6.4865 Å
α = 46.92°, β = 90.00°, γ = 90.00°
Atoms (fractional coordinates):
K1 0.0000 0.0000 0.0000
H1 0.0000 0.4826 0.8767
H2 0.0000 0.8767 0.4826
H3 0.5000 0.8422 0.8422
Au1 0.5000 0.6926 0.6926

## Properties
- Relative energy among the computed polymorphs: 33.81 kJ/mol of atoms
- Crystal system: orthorhombic
- ρ: 4.2 g cm⁻³
- V: 18.73 Å³ per atom
- Total magnetic moment: 0.000 μB per atom
- DFT total energy: -13.55 eV per formula unit

***

(6)
Here is a relaxed structure of SnSb2N from Alexandria. Energies are from PBE.

a = 4.9817 Å, b = 4.9817 Å, c = 4.9817 Å
α = 60.00°, β = 60.00°, γ = 60.00°
Atoms (fractional coordinates):
Sn1 0.0000 0.0000 0.0000
Sb1 0.2500 0.2500 0.2500
Sb2 0.7500 0.7500 0.7500
N1 0.5000 0.5000 0.5000

## Properties
- Relative energy among the computed polymorphs: 81.06 kJ/mol of atoms
- E_form (uncorrected): 1137 meV/atom
- Crystal system: cubic
- ρ: 7.1 g cm⁻³
- V: 21.85 Å³ per atom
- Total magnetic moment: 0.282 μB per atom
- DFT total energy: -16.02 eV per formula unit